First-principles (PBE) data for a geometry-optimized Y2HoCo structure, as listed in Alexandria.

Cell lengths 3.4160, 3.4160, 8.8077 Å; angles 90.00, 90.00, 90.00 degrees
With the nearest neighbours (Å) after each atom.
Positions (direct):
Y 0.0000 0.0000 0.1851  4 Co 2.91, 1 Y 3.26
Y 0.0000 0.0000 0.8149  4 Co 2.91, 1 Y 3.26
Co 0.5000 0.5000 0.0000  8 Y 2.91
Ho 0.5000 0.5000 0.5000  4 Ho 3.42, 8 Y 3.68

Output
Magnetization, Bohr magnetons per cell: 1.0
Space-group type: P4/mmm
Energy above the most stable polymorph in this dataset, eV/atom: 0.127
Energy of formation from the pure elements, eV/atom: -0.029

***

First-principles (PBE) data for a geometry-optimized Er12NiPd6 structure, as listed in Alexandria.

Cell lengths 8.1181, 8.1181, 8.1181 Å; angles 99.26, 99.26, 99.26 degrees
With the nearest neighbours (Å) after each atom.
Positions (direct):
Er 0.1812 0.4166 0.5725  4 Pd 2.77-3.02
Er 0.5834 0.4275 0.8188  4 Pd 2.77-3.02
Er 0.0776 0.9619 0.3173  1 Ni 2.63, 2 Pd 2.84-2.87
Er 0.8188 0.5834 0.4275  4 Pd 2.77-3.02
Er 0.4166 0.5725 0.1812  4 Pd 2.77-3.02
Er 0.6827 0.9224 0.0381  1 Ni 2.63, 2 Pd 2.84-2.87
Er 0.0381 0.6827 0.9224  1 Ni 2.63, 2 Pd 2.84-2.87
Er 0.9619 0.3173 0.0776  1 Ni 2.63, 2 Pd 2.84-2.87
Er 0.3173 0.0776 0.9619  1 Ni 2.63, 2 Pd 2.84-2.87
Er 0.9224 0.0381 0.6827  1 Ni 2.63, 2 Pd 2.84-2.87
Er 0.5725 0.1812 0.4166  4 Pd 2.77-3.02
Er 0.4275 0.8188 0.5834  4 Pd 2.77-3.02
Ni 0.0000 0.0000 0.0000  6 Er 2.63
Pd 0.6240 0.3115 0.1306  6 Er 2.77-3.02
Pd 0.1306 0.6240 0.3115  6 Er 2.77-3.02
Pd 0.6885 0.8694 0.3760  6 Er 2.77-3.02
Pd 0.3115 0.1306 0.6240  6 Er 2.77-3.02
Pd 0.8694 0.3760 0.6885  6 Er 2.77-3.02
Pd 0.3760 0.6885 0.8694  6 Er 2.77-3.02

Output
Magnetization, Bohr magnetons per cell: 0.0
Space-group type: R-3
Energy of formation from the pure elements, eV/atom: -0.528

***

First-principles (PBE) data for a geometry-optimized Li6Tl3Bi structure, as listed in Alexandria.

Cell lengths 4.8435, 8.5109, 10.6100 Å; angles 108.78, 90.00, 90.00 degrees
With the nearest neighbours (Å) after each atom.
Positions (direct):
Bi 0.7500 0.0887 0.3697  10 Li 2.87-3.19
Bi 0.2500 0.9113 0.6303  10 Li 2.87-3.19
Tl 0.7500 0.2393 0.9936  7 Li 2.87-3.11
Tl 0.2500 0.5346 0.4044  7 Li 2.86-3.17
Tl 0.7500 0.4654 0.5956  7 Li 2.86-3.17
Tl 0.7500 0.6600 0.1830  8 Li 2.92-3.08
Tl 0.2500 0.7607 0.0064  7 Li 2.87-3.11
Tl 0.2500 0.3400 0.8170  8 Li 2.92-3.08
Li 0.7500 0.3777 0.2830  5 Tl 2.86-3.16, 1 Bi 2.89, 2 Li 3.05
Li 0.7500 0.7810 0.4792  3 Bi 2.92-3.19, 3 Tl 2.97-3.13, 4 Li 3.06-3.12
Li 0.7500 0.5436 0.8920  7 Tl 2.92-3.11, 3 Li 3.19-3.25
Li 0.7500 0.9554 0.0840  4 Tl 2.87-3.02, 1 Bi 2.87, 3 Li 3.00-3.01
Li 0.7500 0.1357 0.6735  4 Li 3.00-3.12, 3 Bi 3.03-3.12, 4 Tl 3.08-3.22
Li 0.2500 0.4564 0.1080  7 Tl 2.92-3.11, 3 Li 3.19-3.25
Li 0.7500 0.8527 0.7843  8 Li 3.00-3.19, 2 Bi 3.05, 2 Tl 3.26-3.32
Li 0.2500 0.8643 0.3265  4 Li 3.00-3.12, 3 Bi 3.03-3.12, 4 Tl 3.08-3.22
Li 0.2500 0.6223 0.7170  5 Tl 2.86-3.16, 1 Bi 2.89, 2 Li 3.05
Li 0.2500 0.0446 0.9160  4 Tl 2.87-3.02, 1 Bi 2.87, 3 Li 3.00-3.01
Li 0.2500 0.1473 0.2157  8 Li 3.00-3.19, 2 Bi 3.05, 2 Tl 3.26-3.32
Li 0.2500 0.2190 0.5208  3 Bi 2.92-3.19, 3 Tl 2.97-3.13, 4 Li 3.06-3.12

Output
Magnetization, Bohr magnetons per cell: 0.0
Space-group type: P2_1/m
Energy of formation from the pure elements, eV/atom: -0.298

***

First-principles (PBE) data for a geometry-optimized In2SiSb structure, as listed in Alexandria.

Cell lengths 3.3333, 3.3333, 8.8199 Å; angles 90.00, 90.00, 90.00 degrees
With the nearest neighbours (Å) after each atom.
Positions (direct):
Sb 0.5000 0.5000 0.2500  4 Sb 3.33, 8 In 3.42
In 0.0000 0.0000 0.9688  4 Si 3.05, 4 In 3.33
In 0.0000 0.0000 0.5312  4 Si 3.05, 4 In 3.33
Si 0.5000 0.5000 0.7500  8 In 3.05, 4 Si 3.33

Output
Magnetization, Bohr magnetons per cell: 0.0
Space-group type: P4/mmm
Energy above the most stable polymorph in this dataset, eV/atom: 0.137
Energy relative to the elements, uncorrected, eV per atom: 0.30

***

First-principles (PBE) data for a geometry-optimized LaCoAs structure, as listed in Alexandria.

Cell lengths 5.9433, 5.9433, 5.9433 Å; angles 148.38, 148.39, 45.32 degrees
With the nearest neighbours (Å) after each atom.
Positions (direct):
Co 0.3706 0.3706 0.0000  4 As 2.48
La 0.6725 0.6725 0.0000  5 As 3.12-3.29, 5 Co 3.16-3.31, 4 La 3.24
As 0.9568 0.9568 0.0000  4 Co 2.48

Output
Magnetization, Bohr magnetons per cell: 0.0
Space-group type: I4mm
Energy of formation from the pure elements, eV/atom: -0.338

***

First-principles (PBE) data for a geometry-optimized KReSi2 structure, as listed in Alexandria.

Cell lengths 3.9314, 3.0152, 7.6434 Å; angles 89.86, 90.00, 90.00 degrees
With the nearest neighbours (Å) after each atom.
Positions (direct):
K 0.0000 0.6228 0.4893  2 K 3.02
Re 0.5000 0.6263 0.9311  6 Si 2.42-2.49
Si 0.5000 0.1246 0.1790  2 Re 2.42
Si 0.0000 0.1263 0.9007  4 Re 2.49

Output
Magnetization, Bohr magnetons per cell: 0.0
Space-group type: Pm
Energy above the most stable polymorph in this dataset, eV/atom: 0.192
Energy relative to the elements, uncorrected, eV per atom: 0.27

***

First-principles (PBE) data for a geometry-optimized ScBeNb2Cd structure, as listed in Alexandria.

Cell lengths 4.7127, 4.7127, 5.1774 Å; angles 90.00, 90.00, 90.00 degrees
With the nearest neighbours (Å) after each atom.
Positions (direct):
Nb 0.0000 0.5000 0.0000  2 Sc 2.36
Nb 0.5000 0.0000 0.0000  2 Sc 2.36
Cd 0.0000 0.0000 0.5000  2 Sc 2.59
Sc 0.0000 0.0000 0.0000  4 Nb 2.36, 2 Cd 2.59
Be 0.5000 0.5000 0.5000  4 Cd 3.33, 8 Nb 3.50

Output
Magnetization, Bohr magnetons per cell: 0.0
Space-group type: P4/mmm
Energy of formation from the pure elements, eV/atom: 1.732

***

First-principles (PBE) data for a geometry-optimized TmMnCo2 structure, as listed in Alexandria.

Cell lengths 3.0714, 3.0714, 6.1848 Å; angles 90.00, 90.00, 90.00 degrees
With the nearest neighbours (Å) after each atom.
Positions (direct):
Co 0.0000 0.0000 0.7919  4 Mn 2.52, 1 Co 2.57, 4 Tm 2.82
Co 0.0000 0.0000 0.2081  4 Mn 2.52, 1 Co 2.57, 4 Tm 2.82
Tm 0.5000 0.5000 0.5000  8 Co 2.82, 4 Tm 3.07, 2 Mn 3.09
Mn 0.5000 0.5000 0.0000  8 Co 2.52

Output
Magnetization, Bohr magnetons per cell: 4.4
Space-group type: P4/mmm
Energy above the most stable polymorph in this dataset, eV/atom: 0.051
Energy of formation from the pure elements, eV/atom: 0.004

***

First-principles (PBE) data for a geometry-optimized Pm5In2Bi2 structure, as listed in Alexandria.

Cell lengths 8.4083, 8.4307, 9.1315 Å; angles 117.49, 90.00, 90.00 degrees
With the nearest neighbours (Å) after each atom.
Positions (direct):
Pm 0.1688 0.1913 0.7284  3 In 3.28-3.36, 3 Bi 3.29-3.34
Pm 0.8312 0.8087 0.2716  3 In 3.28-3.36, 3 Bi 3.29-3.34
Pm 0.3312 0.9629 0.2716  3 In 3.28-3.36, 3 Bi 3.29-3.34
Pm 0.3312 0.6913 0.7284  3 In 3.28-3.36, 3 Bi 3.29-3.34
Pm 0.5000 0.5000 0.0000  2 Bi 3.32, 4 In 3.32-3.33
Pm 0.6688 0.3087 0.2716  3 In 3.28-3.36, 3 Bi 3.29-3.34
Pm 0.6688 0.0371 0.7284  3 In 3.28-3.36, 3 Bi 3.29-3.34
Pm 0.0000 0.0000 0.0000  2 Bi 3.32, 4 In 3.32-3.33
Pm 0.8312 0.5371 0.7284  3 In 3.28-3.36, 3 Bi 3.29-3.34
Pm 0.1688 0.4629 0.2716  3 In 3.28-3.36, 3 Bi 3.29-3.34
In 0.1249 0.6259 0.0000  1 In 2.99, 6 Pm 3.28-3.33
In 0.6249 0.8741 0.0000  1 In 2.99, 6 Pm 3.28-3.33
In 0.3751 0.1259 0.0000  1 In 2.99, 6 Pm 3.28-3.33
In 0.8751 0.3741 0.0000  1 In 2.99, 6 Pm 3.28-3.33
Bi 0.5000 0.2953 0.5906  7 Pm 3.29-3.34
Bi 0.0000 0.7953 0.5906  7 Pm 3.29-3.34
Bi 0.0000 0.2047 0.4094  7 Pm 3.29-3.34
Bi 0.5000 0.7047 0.4094  7 Pm 3.29-3.34

Output
Magnetization, Bohr magnetons per cell: 0.0
Space-group type: Cmce
Energy of formation from the pure elements, eV/atom: -0.665

***

First-principles (PBE) data for a geometry-optimized Er7Tm2Sc2 structure, as listed in Alexandria.

Cell lengths 6.6179, 9.2832, 6.6179 Å; angles 90.00, 121.77, 90.00 degrees
With the nearest neighbours (Å) after each atom.
Positions (direct):
Tm 0.7503 0.5000 0.7503  2 Tm 3.22, 6 Er 3.36-3.40
Tm 0.2497 0.5000 0.2497  2 Tm 3.22, 6 Er 3.36-3.40
Sc 0.7284 0.0000 0.2716  7 Er 3.13-3.28, 2 Sc 3.26
Sc 0.2716 0.0000 0.7284  7 Er 3.13-3.28, 2 Sc 3.26
Er 0.5002 0.8177 0.4998  2 Sc 3.13-3.14, 2 Tm 3.36, 5 Er 3.38-3.51
Er 0.0002 0.6928 0.4997  5 Er 3.22-3.58, 2 Sc 3.28, 2 Tm 3.40
Er 0.5003 0.6928 0.9998  5 Er 3.22-3.58, 2 Sc 3.28, 2 Tm 3.40
Er 0.9998 0.3072 0.5003  5 Er 3.22-3.58, 2 Sc 3.28, 2 Tm 3.40
Er 0.0000 0.0000 0.0000  2 Sc 3.14
Er 0.4998 0.1823 0.5002  2 Sc 3.13-3.14, 2 Tm 3.36, 5 Er 3.38-3.51
Er 0.4997 0.3072 0.0002  5 Er 3.22-3.58, 2 Sc 3.28, 2 Tm 3.40

Output
Magnetization, Bohr magnetons per cell: 0.0
Space-group type: Cmmm
Energy above the most stable polymorph in this dataset, eV/atom: 0.192
Energy of formation from the pure elements, eV/atom: 0.360

***

First-principles (PBE) data for a geometry-optimized HfPaBi4 structure, as listed in Alexandria.

Cell lengths 3.3410, 9.8546, 5.9373 Å; angles 105.73, 90.00, 99.76 degrees
With the nearest neighbours (Å) after each atom.
Positions (direct):
Bi 0.1470 0.2939 0.4764  6 Bi 3.33-3.49, 2 Pa 3.34, 1 Hf 3.42
Bi 0.3603 0.7205 0.0144  2 Hf 3.21, 6 Bi 3.33-3.49, 1 Pa 3.37
Bi 0.6397 0.2795 0.9856  2 Hf 3.21, 6 Bi 3.33-3.49, 1 Pa 3.37
Bi 0.8530 0.7061 0.5236  6 Bi 3.33-3.49, 2 Pa 3.34, 1 Hf 3.42
Hf 0.0000 0.0000 0.0000  6 Bi 3.21-3.42, 2 Hf 3.34, 4 Pa 3.41
Pa 0.5000 0.0000 0.5000  2 Pa 3.34, 6 Bi 3.34-3.37, 4 Hf 3.41

Output
Magnetization, Bohr magnetons per cell: 0.0
Space-group type: C2/m
Energy above the most stable polymorph in this dataset, eV/atom: 0.055
Energy of formation from the pure elements, eV/atom: -0.001

***

First-principles (PBE) data for a geometry-optimized Ba2Hg3Au6 structure, as listed in Alexandria.

Cell lengths 4.6875, 8.1966, 8.1966 Å; angles 107.81, 90.00, 90.00 degrees
With the nearest neighbours (Å) after each atom.
Positions (direct):
Ba 0.0000 0.3223 0.6777  8 Au 3.44-3.58, 2 Hg 3.80
Ba 0.0000 0.6777 0.3223  8 Au 3.44-3.58, 2 Hg 3.80
Au 0.5000 0.0119 0.6658  1 Au 2.67, 1 Hg 2.77
Au 0.5000 0.9881 0.3342  1 Au 2.67, 1 Hg 2.77
Au 0.5000 0.6658 0.0119  1 Au 2.67, 1 Hg 2.77
Au 0.5000 0.3614 0.3614  3 Au 2.68-3.00, 2 Hg 2.86
Au 0.5000 0.6386 0.6386  3 Au 2.68-3.00, 2 Hg 2.86
Au 0.5000 0.3342 0.9881  1 Au 2.67, 1 Hg 2.77
Hg 0.5000 0.0000 0.0000  4 Au 2.77, 4 Hg 2.98
Hg 0.0000 0.8092 0.8092  2 Au 2.86, 2 Hg 2.98
Hg 0.0000 0.1908 0.1908  2 Au 2.86, 2 Hg 2.98

Output
Magnetization, Bohr magnetons per cell: 0.0
Space-group type: Cmmm
Energy of formation from the pure elements, eV/atom: -0.371

***

no.,electronic total energy (eV per atom)
1,-6.1817
2,-5.3540
3,-2.5442
4,-3.4543
5,-5.8994
6,-5.8305
7,-4.4902
8,-6.9592
9,-4.7757
10,-4.5078
11,-5.8299
12,-2.5905